First-principles (PBE) data for a geometry-optimized Ag4IrCl2 structure, as listed in the Alexandria database.

a = 5.179 Å, b = 5.179 Å, c = 7.746 Å
α = 70.47°, β = 70.47°, γ = 90.00°
Last column: magnetic moment on the atom in μB.
Sites, in units of the cell vectors:
1 Ir 0.000 0.000 0.000  0.99
2 Ag 0.808 0.808 0.385  0.01
3 Ag 0.192 0.192 0.615  0.01
4 Ag 0.000 0.500 0.000  0.07
5 Ag 0.500 0.000 0.000  0.07
6 Cl 0.631 0.631 0.739  0.00
7 Cl 0.369 0.369 0.261  0.00

Results
- space group = I4/mmm (139)
- DOS at the Fermi energy (states/eV per atom) = 0.503
- formation energy from raw total energies (meV per atom) = 562

First-principles (PBE) data for a geometry-optimized AgIr2Cl structure, as listed in the Alexandria database.

a = 8.884 Å, b = 8.884 Å, c = 8.884 Å
α = 18.61°, β = 18.61°, γ = 18.61°
Sites, in units of the cell vectors:
1 Ir 0.005 0.005 0.005
2 Ir 0.495 0.495 0.495
3 Ag 0.250 0.250 0.250
4 Cl 0.750 0.750 0.750

Results
- space group = R-3m (166)
- DOS at the Fermi energy (states/eV per atom) = 1.434
- formation energy from raw total energies (meV per atom) = 707

First-principles (PBE) data for a geometry-optimized AgIrCl4 structure, as listed in the Alexandria database.

a = 7.248 Å, b = 7.248 Å, c = 6.187 Å
α = 125.86°, β = 125.86°, γ = 90.00°
Last column: magnetic moment on the atom in μB.
Sites, in units of the cell vectors:
1 Ag 0.750 0.250 0.500  0.08
2 Ir 0.500 0.500 0.000  1.27
3 Cl 0.350 0.778 0.009  0.11
4 Cl 0.659 0.231 0.009  0.11
5 Cl 0.222 0.341 0.991  0.11
6 Cl 0.769 0.650 0.991  0.11

Results
- space group = I-4 (82)
- DOS at the Fermi energy (states/eV per atom) = 0.603
- formation energy from raw total energies (meV per atom) = -224